P | KMoOs2 PBE optimized geometry; space group = I-42d
1.0
-3.743 3.743 2.880
3.743 -3.743 2.880
3.743 3.743 -2.880
K Mo Os
2 2 4
Direct
0.000 0.000 0.000
0.750 0.250 0.500
0.250 0.750 0.500
0.500 0.500 0.000
0.183 0.625 0.058
0.375 0.433 0.558
0.567 0.125 0.942
0.875 0.817 0.442

---

Q | KMoOs2 PBE optimized geometry; space group = Imm2
1.0
-1.331 2.627 5.382
1.331 -2.627 5.382
1.331 2.627 -5.382
K Mo Os
1 1 2
Direct
0.000 0.000 0.000
0.294 0.794 0.500
0.508 0.508 0.000
0.712 0.212 0.500

---

Sorted by energy, starting with the most stable: Q, P.

---

P | KMoOs2 PBE optimized geometry; space group = Fm-3m
1.0
0.000 3.226 3.226
3.226 0.000 3.226
3.226 3.226 0.000
K Mo Os
1 1 2
Direct
0.000 0.000 0.000
0.500 0.500 0.500
0.250 0.250 0.250
0.750 0.750 0.750

---

Q | KMoOs2 PBE optimized geometry; space group = C2/m
1.0
4.609 -1.426 0.000
4.609 1.426 0.000
-0.995 0.000 6.944
K Mo Os
1 1 2
Direct
0.000 0.000 0.000
0.500 0.500 0.500
0.219 0.219 0.638
0.781 0.781 0.362

---

Sorted by energy, starting with the most stable: Q, P.

---

P | KMoOs2 PBE optimized geometry; space group = Pmm2
1.0
2.710 0.000 0.000
0.000 3.825 0.000
0.000 0.000 8.356
K Mo Os
1 1 2
Direct
0.000 0.000 0.000
0.500 0.500 0.362
0.000 0.000 0.541
0.500 0.500 0.673

---

Q | KMoOs2 PBE optimized geometry; space group = P4/mmm
1.0
2.838 0.000 0.000
0.000 2.838 0.000
0.000 0.000 9.275
K Mo Os
1 1 2
Direct
0.000 0.000 0.000
0.000 0.000 0.500
0.500 0.500 0.306
0.500 0.500 0.694

---

Sorted by energy, starting with the most stable: Q, P.